# PBE+U RbSmFeO3, relaxed
# Calculated total energy ... -6.4658 eV per atom
data_RbSmFeO3
_symmetry_space_group_name_H-M 'P 1 21/m 1'
_symmetry_Int_Tables_number 11
_cell_length_a 8.050
_cell_length_b 3.643
_cell_length_c 8.353
_cell_angle_alpha 90.00
_cell_angle_beta 105.57
_cell_angle_gamma 90.00
loop_
_symmetry_equiv_pos_as_xyz
'x,y,z'
'-x,-y,-z'
'-x,y+1/2,-z'
'x,-y+1/2,z'
loop_
_atom_site_label
_atom_site_fract_x
_atom_site_fract_y
_atom_site_fract_z
Rb1 0.196 0.250 0.212
Sm1 0.347 0.750 0.852
Fe1 0.092 0.250 0.609
O1 0.151 0.250 0.851
O2 0.169 0.750 0.538
O3 0.463 0.750 0.132